(1)
First-principles (GGA-PBEsol) data for an optimized crystal structure of Na3PN, as listed in Alexandria.

extended XYZ file:
```
5
Lattice="5.3685 0.0000 0.0000 0.0000 5.3685 0.0000 0.0000 0.0000 5.3685" Properties=species:S:1:pos:R:3 pbc="T T T"
Na 0.0000 0.0000 2.6843
N 2.6843 2.6843 2.6843
P 0.0000 0.0000 0.0000
Na 0.0000 2.6843 0.0000
Na 2.6843 0.0000 0.0000
```

**Crystal system**: cubic
**Magnetization**: 3.0 μB per formula unit


(2)
First-principles (GGA-PBEsol) data for an optimized crystal structure of NaPSN2, as listed in Alexandria.

extended XYZ file:
```
5
Lattice="-0.7499 2.7690 -3.0002 -1.6455 -2.9966 -2.3544 -4.5711 0.9346 2.0052" Properties=species:S:1:pos:R:3 pbc="T T T"
N -0.8228 -1.4983 -1.1772
Na 0.0000 0.0000 0.0000
N -0.3750 1.3845 -1.5001
S -2.2855 0.4673 1.0026
P -3.4833 0.3535 -1.6747
```

**Crystal system**: tetragonal
**Magnetization**: 4.2 μB per formula unit


(3)
First-principles (GGA-PBEsol) data for an optimized crystal structure of NaPbN3, as listed in Alexandria.

extended XYZ file:
```
5
Lattice="-2.6526 1.2390 3.3257 -3.0348 -2.9444 -1.3236 1.8399 -3.0703 2.6114" Properties=species:S:1:pos:R:3 pbc="T T T"
N -1.3263 0.6195 1.6628
N -1.5174 -1.4722 -0.6618
Na -1.9237 -2.3878 2.3067
N 0.9200 -1.5351 1.3057
Pb 0.0000 0.0000 0.0000
```

**Crystal system**: cubic
**Magnetization**: 4.1 μB per formula unit


(4)
First-principles (GGA-PBEsol) data for an optimized crystal structure of NaPb3N, as listed in Alexandria.

extended XYZ file:
```
5
Lattice="-1.6368 -0.0882 -5.1919 -5.1787 -0.3716 1.6389 -0.3809 5.4311 0.0279" Properties=species:S:1:pos:R:3 pbc="T T T"
Na 0.0000 0.0000 0.0000
N -3.5982 2.4856 -1.7626
Pb -2.5893 -0.1858 0.8194
Pb -0.1905 2.7156 0.0139
Pb -0.8184 -0.0441 -2.5960
```

**Crystal system**: cubic
**Magnetization**: 2.2 μB per formula unit


(5)
First-principles (GGA-PBEsol) data for an optimized crystal structure of NaTaPbN2, as listed in Alexandria.

extended XYZ file:
```
5
Lattice="4.1710 0.0000 0.0000 0.0000 4.1710 0.0000 0.0000 0.0000 4.9748" Properties=species:S:1:pos:R:3 pbc="T T T"
N 0.0000 2.0855 0.0000
Ta 0.0000 0.0000 2.4874
N 2.0855 0.0000 0.0000
Na 0.0000 0.0000 0.0000
Pb 2.0855 2.0855 2.4874
```

**Crystal system**: tetragonal
**Magnetization**: 1.4 μB per formula unit


(6)
First-principles (GGA-PBEsol) data for an optimized crystal structure of NaPdS2N, as listed in Alexandria.

extended XYZ file:
```
5
Lattice="3.6207 0.0000 0.0000 0.0000 4.9800 0.0000 0.0000 0.0000 4.9800" Properties=species:S:1:pos:R:3 pbc="T T T"
S 0.0000 0.0000 2.4900
N 1.8104 0.0000 0.0000
Pd 0.0000 0.0000 0.0000
Na 1.8104 2.4900 2.4900
S 0.0000 2.4900 0.0000
```

**Crystal system**: tetragonal
**Magnetization**: 0.0 μB per formula unit


(7)
First-principles (GGA-PBEsol) data for an optimized crystal structure of NaTc2PdN, as listed in Alexandria.

extended XYZ file:
```
5
Lattice="-1.8644 0.6263 3.0685 4.0360 -1.6334 2.7857 1.8539 4.8229 0.1420" Properties=species:S:1:pos:R:3 pbc="T T T"
Pd 0.0000 0.0000 0.0000
Tc 0.9269 2.4115 0.0710
N -0.9322 0.3132 1.5342
Tc 2.0180 -0.8167 1.3928
Na 2.0128 1.9079 2.9980
```

**Crystal system**: tetragonal
**Magnetization**: 6.8 μB per formula unit


(8)
First-principles (GGA-PBEsol) data for an optimized crystal structure of Na2PtN, as listed in Alexandria.

extended XYZ file:
```
8
Lattice="-1.9935 -3.0739 0.7845 1.9576 -4.8478 -5.0730 4.1803 -3.8261 4.5776" Properties=species:S:1:pos:R:3 pbc="T T T"
Pt 1.5738 -6.6424 0.3407
Na 2.8771 -5.2343 2.4591
Na 2.8591 -9.1951 0.3149
Pt 0.0000 0.0000 0.0000
N -0.9967 -1.5370 0.3923
N 2.5706 -5.1054 -0.0516
Na 1.7657 -5.7451 -2.3662
Na 0.7869 -3.3212 0.1703
```

**Crystal system**: tetragonal
**Magnetization**: 0.0 μB per formula unit


no.,uncorrected formation energy (eV per atom)
1,0.798
2,2.310
3,1.716
4,1.586
5,2.374
6,0.365
7,1.991
8,-0.163